(1)
# NdZrCu (PBE, optimized geometry)
data_NdZrCu
_space_group_name_H-M_alt 'P 4/n m m'
_space_group_IT_number 129
_cell_length_a 4.5189
_cell_length_b 4.5189
_cell_length_c 6.9879
_cell_angle_alpha 90.00
_cell_angle_beta 90.00
_cell_angle_gamma 90.00
loop_
_space_group_symop_operation_xyz
'x,y,z'
'-x,-y,-z'
'-y+1/2,x,z'
'y+1/2,-x,-z'
'-x+1/2,-y+1/2,z'
'x+1/2,y+1/2,-z'
'y,-x+1/2,z'
'-y,x+1/2,-z'
'x+1/2,-y,-z'
'-x+1/2,y,z'
'-y,-x,-z'
'y,x,z'
'-x,y+1/2,-z'
'x,-y+1/2,z'
'y+1/2,x+1/2,-z'
'-y+1/2,-x+1/2,z'
loop_
_atom_site_label
_atom_site_fract_x
_atom_site_fract_y
_atom_site_fract_z
Nd1 0.2500 0.2500 0.1267
Zr1 0.2500 0.7500 0.5000
Cu1 0.2500 0.2500 0.7254
# Calculated volume, Å³/cell: 142.69
# DOS at the Fermi energy, states/eV/f.u.: 2.09
# Distance to the lowest polymorph of the same formula, eV per atom: 0.000

(2)
# Zr2HgC (PBE, optimized geometry)
data_Zr2HgC
_space_group_name_H-M_alt 'R -3 m'
_space_group_IT_number 166
_space_group_name_Hall '-R 3 2"'
_cell_length_a 3.3626
_cell_length_b 3.3626
_cell_length_c 22.4034
_cell_angle_alpha 90.00
_cell_angle_beta 90.00
_cell_angle_gamma 120.00
loop_
_atom_site_label
_atom_site_fract_x
_atom_site_fract_y
_atom_site_fract_z
Zr1 0.0000 0.0000 0.2225
Hg1 0.0000 0.0000 0.0000
C1 0.0000 0.0000 0.5000
# Calculated volume, Å³/cell: 219.38
# Total energy, eV per atom: -7.27
# DOS at the Fermi energy, states/eV/f.u.: 2.04